# 1
Dy2Er3Tm8: relaxed, PBE-GGA.

ΔE_f = 0.249 eV/atom
offset from the most stable computed form = 0.082 eV/atom

Cell lengths 10.7527, 10.7527, 5.4931 Å; angles 90.00, 90.00, 139.36 degrees
Last column: nearest neighbours and their distance in Å.
Fractional positions:
Dy 0.2414 0.7586 0.0000  8 Tm 3.33-3.52
Dy 0.7586 0.2414 0.0000  8 Tm 3.33-3.52
Er 0.0000 0.0000 0.0000  4 Tm 3.06
Er 0.2833 0.2833 0.5000  3 Er 3.24-3.47, 6 Tm 3.41-3.51
Er 0.7167 0.7167 0.5000  3 Er 3.24-3.47, 6 Tm 3.41-3.51
Tm 0.1325 0.8675 0.5000  2 Er 3.41, 6 Tm 3.51-3.79, 2 Dy 3.52
Tm 0.1775 0.3949 0.0000  1 Er 3.06, 3 Tm 3.19-3.37, 2 Dy 3.42-3.43
Tm 0.3348 0.6652 0.5000  2 Dy 3.33, 4 Tm 3.37, 2 Er 3.70
Tm 0.3949 0.1775 0.0000  1 Er 3.06, 3 Tm 3.19-3.37, 2 Dy 3.42-3.43
Tm 0.6051 0.8225 0.0000  1 Er 3.06, 3 Tm 3.19-3.37, 2 Dy 3.42-3.43
Tm 0.6652 0.3348 0.5000  2 Dy 3.33, 4 Tm 3.37, 2 Er 3.70
Tm 0.8225 0.6051 0.0000  1 Er 3.06, 3 Tm 3.19-3.37, 2 Dy 3.42-3.43
Tm 0.8675 0.1325 0.5000  2 Er 3.41, 6 Tm 3.51-3.79, 2 Dy 3.52

***

# 2
Dy2ErTm: relaxed, PBE-GGA.

ΔE_f = 0.023 eV/atom
offset from the most stable computed form = 0.022 eV/atom

Cell lengths 4.9700, 4.9700, 4.9618 Å; angles 90.00, 90.00, 90.00 degrees
Last column: nearest neighbours and their distance in Å.
Fractional positions:
Dy 0.0000 0.5000 0.0000  4 Er 3.51, 4 Tm 3.51, 4 Dy 3.51
Dy 0.5000 0.0000 0.0000  4 Er 3.51, 4 Tm 3.51, 4 Dy 3.51
Er 0.0000 0.0000 0.5000  8 Dy 3.51, 4 Tm 3.51
Tm 0.5000 0.5000 0.5000  8 Dy 3.51, 4 Er 3.51

***

# 3
Dy3ErTm6: relaxed, PBE-GGA.

ΔE_f = 0.150 eV/atom
offset from the most stable computed form = 0.026 eV/atom

Cell lengths 10.8118, 10.8118, 6.0981 Å; angles 90.00, 90.00, 119.72 degrees
Last column: nearest neighbours and their distance in Å.
Fractional positions:
Dy 0.1085 0.8915 0.5000  5 Tm 3.28-3.53, 1 Er 3.45, 2 Dy 3.63
Dy 0.2203 0.4375 0.8884  1 Er 3.23, 6 Tm 3.23-3.57
Dy 0.4375 0.2203 0.3884  1 Er 3.23, 6 Tm 3.23-3.57
Dy 0.5625 0.7797 0.8884  1 Er 3.23, 6 Tm 3.23-3.57
Dy 0.7797 0.5625 0.3884  1 Er 3.23, 6 Tm 3.23-3.57
Dy 0.8915 0.1085 0.0000  5 Tm 3.28-3.53, 1 Er 3.45, 2 Dy 3.63
Er 0.2908 0.7092 0.5842  7 Tm 3.23-3.43, 3 Dy 3.23-3.45
Er 0.7092 0.2908 0.0842  7 Tm 3.23-3.43, 3 Dy 3.23-3.45
Tm 0.0412 0.4625 0.2934  5 Tm 3.22-3.39, 2 Er 3.23-3.37, 2 Dy 3.23-3.54
Tm 0.1167 0.2119 0.4626  4 Dy 3.35-3.53, 6 Tm 3.36-3.71
Tm 0.2119 0.1167 0.9626  4 Dy 3.35-3.53, 6 Tm 3.36-3.71
Tm 0.2152 0.7848 0.0721  4 Tm 3.22-3.32, 1 Dy 3.28, 2 Er 3.30-3.43
Tm 0.4514 0.5486 0.3535  1 Er 3.32, 4 Dy 3.48-3.57, 4 Tm 3.55-3.71
Tm 0.4625 0.0412 0.7934  5 Tm 3.22-3.39, 2 Er 3.23-3.37, 2 Dy 3.23-3.54
Tm 0.5375 0.9588 0.2934  5 Tm 3.22-3.39, 2 Er 3.23-3.37, 2 Dy 3.23-3.54
Tm 0.5486 0.4514 0.8535  1 Er 3.32, 4 Dy 3.48-3.57, 4 Tm 3.55-3.71
Tm 0.7848 0.2152 0.5721  4 Tm 3.22-3.32, 1 Dy 3.28, 2 Er 3.30-3.43
Tm 0.7881 0.8833 0.4626  4 Dy 3.35-3.53, 6 Tm 3.36-3.71
Tm 0.8833 0.7881 0.9626  4 Dy 3.35-3.53, 6 Tm 3.36-3.71
Tm 0.9588 0.5375 0.7934  5 Tm 3.22-3.39, 2 Er 3.23-3.37, 2 Dy 3.23-3.54

***

# 4
Dy5Er5Tm: relaxed, PBE-GGA.

ΔE_f = 0.151 eV/atom
offset from the most stable computed form = 0.000 eV/atom

Cell lengths 6.7870, 6.8787, 8.2336 Å; angles 75.87, 76.67, 72.27 degrees
Last column: nearest neighbours and their distance in Å.
Fractional positions:
Dy 0.0000 0.0000 0.0000  6 Er 3.29-3.39, 2 Tm 3.44, 2 Dy 3.67
Dy 0.1562 0.1333 0.3583  2 Dy 3.34-3.36, 7 Er 3.42-3.69, 1 Tm 3.52
Dy 0.3253 0.2704 0.6531  7 Er 3.26-3.54, 1 Dy 3.34, 1 Tm 3.56
Dy 0.6747 0.7296 0.3469  7 Er 3.26-3.54, 1 Dy 3.34, 1 Tm 3.56
Dy 0.8438 0.8667 0.6417  2 Dy 3.34-3.36, 7 Er 3.42-3.69, 1 Tm 3.52
Er 0.2088 0.6391 0.3105  7 Dy 3.34-3.55, 1 Er 3.35, 1 Tm 3.63
Er 0.3522 0.7484 0.7226  6 Dy 3.29-3.55, 2 Er 3.35-3.64, 1 Tm 3.45
Er 0.5000 0.0000 0.0000  6 Dy 3.26-3.44, 2 Er 3.64
Er 0.6478 0.2516 0.2774  6 Dy 3.29-3.55, 2 Er 3.35-3.64, 1 Tm 3.45
Er 0.7912 0.3609 0.6895  7 Dy 3.34-3.55, 1 Er 3.35, 1 Tm 3.63
Tm 0.0000 0.5000 0.0000  6 Dy 3.44-3.56, 4 Er 3.45-3.63

***

# 5
DyEr5Tm5: relaxed, PBE-GGA.

ΔE_f = 0.149 eV/atom
offset from the most stable computed form = 0.000 eV/atom

Cell lengths 6.7155, 6.8655, 8.1737 Å; angles 76.26, 76.88, 72.88 degrees
Last column: nearest neighbours and their distance in Å.
Fractional positions:
Dy 0.0000 0.0000 0.0000  4 Tm 3.43-3.62, 6 Er 3.43-3.57
Er 0.0000 0.5000 0.0000  6 Tm 3.30-3.38, 2 Dy 3.43, 2 Er 3.63
Er 0.1590 0.6287 0.3584  4 Er 3.31-3.70, 7 Tm 3.39-3.65, 1 Dy 3.53
Er 0.3290 0.7631 0.6547  7 Tm 3.22-3.53, 1 Er 3.31, 1 Dy 3.57
Er 0.6710 0.2369 0.3453  7 Tm 3.22-3.53, 1 Er 3.31, 1 Dy 3.57
Er 0.8410 0.3713 0.6416  4 Er 3.31-3.70, 7 Tm 3.39-3.65, 1 Dy 3.53
Tm 0.2053 0.1365 0.3187  1 Tm 3.35, 7 Er 3.35-3.52, 1 Dy 3.62
Tm 0.3520 0.2463 0.7198  7 Er 3.30-3.65, 2 Tm 3.35-3.64, 1 Dy 3.43
Tm 0.5000 0.5000 0.0000  6 Er 3.22-3.41
Tm 0.6480 0.7537 0.2802  7 Er 3.30-3.65, 2 Tm 3.35-3.64, 1 Dy 3.43
Tm 0.7947 0.8635 0.6813  1 Tm 3.35, 7 Er 3.35-3.52, 1 Dy 3.62

***

# 6
DyEr5Tm3: relaxed, PBE-GGA.

ΔE_f = 0.719 eV/atom
offset from the most stable computed form = 0.215 eV/atom

Cell lengths 9.2807, 9.2807, 10.6926 Å; angles 106.80, 106.80, 48.05 degrees
Last column: nearest neighbours and their distance in Å.
Fractional positions:
Dy 0.2481 0.7519 0.7500  4 Tm 3.26-3.27
Dy 0.7519 0.2481 0.2500  4 Tm 3.26-3.27
Er 0.0814 0.5845 0.9185  4 Tm 3.28
Er 0.0848 0.5826 0.4140  4 Tm 3.27-3.28
Er 0.2536 0.7464 0.2500  4 Tm 3.29
Er 0.4155 0.9186 0.5815  4 Tm 3.28
Er 0.4174 0.9152 0.0860  4 Tm 3.27-3.28
Er 0.5826 0.0848 0.9140  4 Tm 3.27-3.28
Er 0.5845 0.0814 0.4185  4 Tm 3.28
Er 0.7464 0.2536 0.7500  4 Tm 3.29
Er 0.9152 0.4174 0.5860  4 Tm 3.27-3.28
Er 0.9186 0.4155 0.0815  4 Tm 3.28
Tm 0.0000 0.0000 0.0000  2 Dy 3.26, 6 Er 3.28-3.29
Tm 0.0000 0.0000 0.5000  2 Dy 3.26, 6 Er 3.28-3.29
Tm 0.3289 0.3372 0.6661  7 Er 3.27-3.29, 1 Dy 3.27
Tm 0.3372 0.3289 0.1661  7 Er 3.27-3.29, 1 Dy 3.27
Tm 0.6628 0.6711 0.8339  7 Er 3.27-3.29, 1 Dy 3.27
Tm 0.6711 0.6628 0.3339  7 Er 3.27-3.29, 1 Dy 3.27